First-principles (GGA-PBE) data for an optimized crystal structure of NaZrS2, as listed in Alexandria via LeMat-Bulk.

Lattice parameters (Å, degrees): 7.328 7.328 7.328 28.95 28.95 28.95
Atoms (fractional coordinates):
Na  0.000  0.000  0.000
Zr  0.169  0.169  0.169
S  0.576  0.576  0.576
S  0.762  0.762  0.762

Values from the calculation:
space group = R3m (160)
total DFT energy (no corrections) = -6.003 eV per atom
energy relative to the elements, uncorrected = -1.47 eV/atom